# 1
This record from Alexandria describes an optimized crystal structure of NbNi2RhI. The functional is PBE.

Unit cell a=4.677 b=4.677 c=4.804 alpha=90.00 beta=90.00 gamma=90.00
Fractional positions:
1 Nb 0.000 0.000 0.000
2 Ni 0.000 0.500 0.000
3 Ni 0.500 0.000 0.000
4 Rh 0.000 0.000 0.500
5 I 0.500 0.500 0.500

DOS at the Fermi energy: 6.498 states/eV per cell
Energy relative to the elements, uncorrected: 112 kJ/mol of atoms
Symmetry: P4/mmm

---

# 2
This record from Alexandria describes an optimized crystal structure of Nb2NiSbI. The functional is PBE.

Unit cell a=5.152 b=5.152 c=4.435 alpha=90.00 beta=90.00 gamma=90.00
Fractional positions:
1 Nb 0.000 0.500 0.000
2 Nb 0.500 0.000 0.000
3 Ni 0.000 0.000 0.500
4 Sb 0.500 0.500 0.500
5 I 0.000 0.000 0.000

DOS at the Fermi energy: 7.302 states/eV per cell
Energy relative to the elements, uncorrected: 122 kJ/mol of atoms
Symmetry: P4/mmm

---

# 3
This record from Alexandria describes an optimized crystal structure of NbNiSbI2. The functional is PBE.

Unit cell a=5.151 b=5.151 c=5.025 alpha=90.00 beta=90.00 gamma=90.00
Fractional positions:
1 Nb 0.000 0.000 0.000
2 Ni 0.500 0.500 0.500
3 Sb 0.500 0.500 0.000
4 I 0.000 0.500 0.500
5 I 0.500 0.000 0.500

DOS at the Fermi energy: 4.154 states/eV per cell
Energy relative to the elements, uncorrected: 81 kJ/mol of atoms
Symmetry: P4/mmm

---

# 4
This record from Alexandria describes an optimized crystal structure of NbNiSbI2. The functional is PBE.

Unit cell a=5.472 b=5.472 c=5.538 alpha=90.00 beta=90.00 gamma=90.00
Fractional positions:
1 Nb 0.000 0.000 0.000
2 Ni 0.500 0.500 0.500
3 Sb 0.000 0.000 0.500
4 I 0.000 0.500 0.000
5 I 0.500 0.000 0.000

DOS at the Fermi energy: 8.646 states/eV per cell
Energy relative to the elements, uncorrected: 86 kJ/mol of atoms
Symmetry: P4/mmm

---

The lowest energy relative to the elements, uncorrected belongs to which entry?
number 3

---

DOS at the Fermi energy of number 3 (NbNiSbI2)?
4.154 states/eV per cell

---

Which of these has the highest DOS at the Fermi energy?
number 4

---

What is the DOS at the Fermi energy in the first record?
6.498 states/eV per cell